No. 1
Computed, not measured: a relaxed structure of TcRu at the GGA-PBE level of DFT.

Energy above the most stable polymorph in this dataset (eV per formula unit): 0.89
Space group: P4/nmm, No. 129
Formation energy (meV per atom): 380

a = 3.2236 Å, b = 3.2236 Å, c = 5.6397 Å
α = 90.00°, β = 90.00°, γ = 90.00°
Positions (direct):
Tc 0.2500 0.2500 0.1277
Tc 0.7500 0.7500 0.8723
Ru 0.2500 0.2500 0.6061
Ru 0.7500 0.7500 0.3939

No. 2
Computed, not measured: a relaxed structure of TaMn2Sb at the GGA-PBE level of DFT.

Energy relative to the elements, uncorrected (eV per formula unit): 0.02
Space group: P4/mmm, No. 123

a = 4.3010 Å, b = 4.3010 Å, c = 3.1605 Å
α = 90.00°, β = 90.00°, γ = 90.00°
Positions (direct):
Ta 0.0000 0.0000 0.0000
Mn 0.0000 0.5000 0.5000
Mn 0.5000 0.0000 0.5000
Sb 0.5000 0.5000 0.0000

No. 3
Computed, not measured: a relaxed structure of HoThTa at the GGA-PBE level of DFT.

Space group: C2/m, No. 12
Formation energy (meV per atom): 298

a = 6.2939 Å, b = 6.2939 Å, c = 5.9995 Å
α = 90.91°, β = 90.91°, γ = 45.09°
Positions (direct):
Ho 0.0749 0.0749 0.2589
Ho 0.9251 0.9251 0.7411
Th 0.3653 0.3653 0.1505
Th 0.6347 0.6347 0.8495
Ta 0.2606 0.2606 0.6274
Ta 0.7394 0.7394 0.3726

No. 4
Computed, not measured: a relaxed structure of HfInTeI2 at the GGA-PBE level of DFT.

Energy relative to the elements, uncorrected (eV per formula unit): 3.43
Energy above the most stable polymorph in this dataset (eV per formula unit): 4.86
Space group: P4/mmm, No. 123

a = 5.7853 Å, b = 5.7853 Å, c = 5.9710 Å
α = 90.00°, β = 90.00°, γ = 90.00°
Positions (direct):
Hf 0.0000 0.0000 0.0000
In 0.5000 0.5000 0.5000
Te 0.5000 0.5000 0.0000
I 0.0000 0.5000 0.5000
I 0.5000 0.0000 0.5000